Entry 1:
DFT (PBE) results for a relaxed Eu3Sb5Se12 crystal.

a b c (Å): 14.8197 14.8197 14.8197
angles (deg): 109.47 109.47 109.47
With the nearest neighbours (Å) after each atom.
Fractional positions:
Eu (0.7500, 0.3750, 0.1250)  8 Se 3.18-3.24
Eu (0.8750, 0.7500, 0.1250)  8 Se 3.18-3.24
Eu (0.3750, 0.7500, 0.6250)  8 Se 3.18-3.24
Eu (0.2500, 0.1250, 0.3750)  8 Se 3.18-3.24
Eu (0.8750, 0.1250, 0.2500)  8 Se 3.18-3.24
Eu (0.3750, 0.6250, 0.2500)  8 Se 3.18-3.24
Eu (0.6250, 0.3750, 0.7500)  8 Se 3.18-3.24
Eu (0.1250, 0.8750, 0.7500)  8 Se 3.18-3.24
Eu (0.7500, 0.8750, 0.6250)  8 Se 3.18-3.24
Eu (0.6250, 0.2500, 0.3750)  8 Se 3.18-3.24
Eu (0.1250, 0.2500, 0.8750)  8 Se 3.18-3.24
Eu (0.2500, 0.6250, 0.8750)  8 Se 3.18-3.24
Sb (0.1250, 0.3750, 0.2500)  4 Se 2.69
Sb (0.0000, 0.5000, 0.0000)  6 Se 2.84
Sb (0.0000, 0.0000, 0.0000)  6 Se 2.84
Sb (0.3750, 0.2500, 0.1250)  4 Se 2.69
Sb (0.5000, 0.0000, 0.5000)  6 Se 2.84
Sb (0.5000, 0.5000, 0.0000)  6 Se 2.84
Sb (0.1250, 0.7500, 0.3750)  4 Se 2.69
Sb (0.7500, 0.1250, 0.8750)  4 Se 2.69
Sb (0.7500, 0.6250, 0.3750)  4 Se 2.69
Sb (0.3750, 0.1250, 0.7500)  4 Se 2.69
Sb (0.6250, 0.8750, 0.2500)  4 Se 2.69
Sb (0.5000, 0.5000, 0.5000)  6 Se 2.84
Sb (0.5000, 0.0000, 0.0000)  6 Se 2.84
Sb (0.0000, 0.0000, 0.5000)  6 Se 2.84
Sb (0.2500, 0.3750, 0.6250)  4 Se 2.69
Sb (0.2500, 0.8750, 0.1250)  4 Se 2.69
Sb (0.0000, 0.5000, 0.5000)  6 Se 2.84
Sb (0.8750, 0.2500, 0.6250)  4 Se 2.69
Sb (0.6250, 0.7500, 0.8750)  4 Se 2.69
Sb (0.8750, 0.6250, 0.7500)  4 Se 2.69
Se (0.7156, 0.1323, 0.0438)  2 Sb 2.69-2.84
Se (0.3283, 0.5438, 0.4115)  2 Sb 2.69-2.84
Se (0.9562, 0.3677, 0.2844)  2 Sb 2.69-2.84
Se (0.5438, 0.2156, 0.1323)  2 Sb 2.69-2.84
Se (0.5832, 0.7156, 0.6717)  2 Sb 2.69-2.84
Se (0.9562, 0.5885, 0.1717)  2 Sb 2.69-2.84
Se (0.3283, 0.7844, 0.4168)  2 Sb 2.69-2.84
Se (0.0885, 0.9168, 0.1323)  2 Sb 2.69-2.84
Se (0.5885, 0.9562, 0.6717)  2 Sb 2.69-2.84
Se (0.7156, 0.5832, 0.1717)  2 Sb 2.69-2.84
Se (0.7844, 0.4562, 0.3677)  2 Sb 2.69-2.84
Se (0.8283, 0.9115, 0.0438)  2 Sb 2.69-2.84
Se (0.1323, 0.7156, 0.5438)  2 Sb 2.69-2.84
Se (0.3677, 0.4115, 0.0832)  2 Sb 2.69-2.84
Se (0.0832, 0.9115, 0.3677)  2 Sb 2.69-2.84
Se (0.4168, 0.1323, 0.5885)  2 Sb 2.69-2.84
Se (0.0832, 0.1717, 0.2156)  2 Sb 2.69-2.84
Se (0.4562, 0.6717, 0.0885)  2 Sb 2.69-2.84
Se (0.8283, 0.9168, 0.2844)  2 Sb 2.69-2.84
Se (0.1323, 0.4168, 0.0885)  2 Sb 2.69-2.84
Se (0.3677, 0.9562, 0.7844)  2 Sb 2.69-2.84
Se (0.5885, 0.6323, 0.4168)  2 Sb 2.69-2.84
Se (0.9115, 0.8283, 0.5438)  2 Sb 2.69-2.84
Se (0.7844, 0.3283, 0.9168)  2 Sb 2.69-2.84
Se (0.4115, 0.3677, 0.5832)  2 Sb 2.69-2.84
Se (0.0885, 0.1717, 0.4562)  2 Sb 2.69-2.84
Se (0.2156, 0.6717, 0.0832)  2 Sb 2.69-2.84
Se (0.1717, 0.0832, 0.7156)  2 Sb 2.69-2.84
Se (0.6323, 0.0438, 0.2156)  2 Sb 2.69-2.84
Se (0.8677, 0.5832, 0.9115)  2 Sb 2.69-2.84
Se (0.5438, 0.3283, 0.9115)  2 Sb 2.69-2.84
Se (0.5832, 0.8677, 0.4115)  2 Sb 2.69-2.84
Se (0.9168, 0.8283, 0.7844)  2 Sb 2.69-2.84
Se (0.9168, 0.0885, 0.6323)  2 Sb 2.69-2.84
Se (0.8677, 0.2844, 0.4562)  2 Sb 2.69-2.84
Se (0.1717, 0.0885, 0.9562)  2 Sb 2.69-2.84
Se (0.6323, 0.5885, 0.9168)  2 Sb 2.69-2.84
Se (0.4115, 0.0438, 0.3283)  2 Sb 2.69-2.84
Se (0.2844, 0.4168, 0.8283)  2 Sb 2.69-2.84
Se (0.2156, 0.5438, 0.6323)  2 Sb 2.69-2.84
Se (0.9115, 0.0832, 0.8677)  2 Sb 2.69-2.84
Se (0.6717, 0.2156, 0.5832)  2 Sb 2.69-2.84
Se (0.4562, 0.7844, 0.8677)  2 Sb 2.69-2.84
Se (0.0438, 0.4115, 0.8283)  2 Sb 2.69-2.84
Se (0.4168, 0.2844, 0.3283)  2 Sb 2.69-2.84
Se (0.0438, 0.6323, 0.7156)  2 Sb 2.69-2.84
Se (0.6717, 0.4562, 0.5885)  2 Sb 2.69-2.84
Se (0.2844, 0.8677, 0.9562)  2 Sb 2.69-2.84



Entry 2:
DFT (PBE) results for a relaxed EuSiSb2 crystal.

a b c (Å): 3.7902 3.7902 10.0548
angles (deg): 79.14 79.14 60.00
With the nearest neighbours (Å) after each atom.
Fractional positions:
Eu (0.0000, 0.0000, 0.0000)  2 Sb 3.24
Sb (0.1099, 0.1099, 0.6703)  3 Si 2.75
Sb (0.8901, 0.8901, 0.3297)  3 Si 2.75
Si (0.5000, 0.5000, 0.5000)  6 Sb 2.75



Entry 3:
DFT (PBE) results for a relaxed Sm2EuSb crystal.

a b c (Å): 4.1525 4.1525 7.2764
angles (deg): 90.00 90.00 90.00
With the nearest neighbours (Å) after each atom.
Fractional positions:
Eu (0.5000, 0.5000, 0.0000)  8 Sm 3.57, 2 Sb 3.64
Sb (0.5000, 0.5000, 0.5000)  8 Sm 3.34, 2 Eu 3.64
Sm (0.0000, 0.0000, 0.7202)  1 Sm 3.20, 4 Sb 3.34, 4 Eu 3.57
Sm (0.0000, 0.0000, 0.2798)  1 Sm 3.20, 4 Sb 3.34, 4 Eu 3.57

Excess energy over the best structure of this formula in the dataset (meV/atom): 39



Entry 4:
DFT (PBE) results for a relaxed Sm2EuSb crystal.

a b c (Å): 4.8442 4.9551 4.9551
angles (deg): 90.00 90.00 90.00
With the nearest neighbours (Å) after each atom.
Fractional positions:
Eu (0.5000, 0.5000, 0.5000)  8 Sm 3.46, 4 Sb 3.50
Sb (0.5000, 0.0000, 0.0000)  8 Sm 3.46, 4 Eu 3.50
Sm (0.0000, 0.0000, 0.5000)  4 Sb 3.46, 4 Eu 3.46, 4 Sm 3.50
Sm (0.0000, 0.5000, 0.0000)  4 Sb 3.46, 4 Eu 3.46, 4 Sm 3.50

Excess energy over the best structure of this formula in the dataset (meV/atom): 0



Entry 5:
DFT (PBE) results for a relaxed SmEu2Sb crystal.

a b c (Å): 5.1527 4.9038 4.9038
angles (deg): 90.00 90.00 90.00
With the nearest neighbours (Å) after each atom.
Fractional positions:
Eu (0.0000, 0.0000, 0.5000)  4 Eu 3.47, 4 Sm 3.56, 4 Sb 3.56
Eu (0.0000, 0.5000, 0.0000)  4 Eu 3.47, 4 Sb 3.56, 4 Sm 3.56
Sb (0.5000, 0.0000, 0.0000)  4 Sm 3.47, 8 Eu 3.56
Sm (0.5000, 0.5000, 0.5000)  4 Sb 3.47, 8 Eu 3.56



Entry 6:
DFT (PBE) results for a relaxed Sm2EuSb crystal.

a b c (Å): 4.1475 4.1475 10.3532
angles (deg): 78.45 78.45 60.00
With the nearest neighbours (Å) after each atom.
Fractional positions:
Eu (0.5000, 0.5000, 0.5000)  6 Sm 3.93, 6 Eu 4.15
Sb (0.0000, 0.0000, 0.0000)  6 Sm 3.07
Sm (0.2699, 0.2699, 0.1903)  3 Sb 3.07
Sm (0.7301, 0.7301, 0.8097)  3 Sb 3.07

Excess energy over the best structure of this formula in the dataset (meV/atom): 116



Entry 7:
DFT (PBE) results for a relaxed SmEuSb2 crystal.

a b c (Å): 4.5012 4.5012 7.9245
angles (deg): 73.50 73.50 60.00
With the nearest neighbours (Å) after each atom.
Fractional positions:
Eu (0.5000, 0.5000, 0.5000)  6 Sb 3.24
Sb (0.2526, 0.2526, 0.2423)  3 Sm 3.17, 3 Eu 3.24
Sb (0.7474, 0.7474, 0.7577)  3 Sm 3.17, 3 Eu 3.24
Sm (0.0000, 0.0000, 0.0000)  6 Sb 3.17

Excess energy over the best structure of this formula in the dataset (meV/atom): 0



Entry 8:
DFT (PBE) results for a relaxed SmEuSb2 crystal.

a b c (Å): 3.4133 5.8396 5.8396
angles (deg): 90.00 90.00 90.00
With the nearest neighbours (Å) after each atom.
Fractional positions:
Eu (0.5000, 0.0000, 0.0000)  8 Sb 3.38, 2 Eu 3.41
Sb (0.0000, 0.0000, 0.5000)  4 Sm 3.38, 4 Eu 3.38, 2 Sb 3.41
Sb (0.0000, 0.5000, 0.0000)  4 Sm 3.38, 4 Eu 3.38, 2 Sb 3.41
Sm (0.5000, 0.5000, 0.5000)  8 Sb 3.38, 2 Sm 3.41

Excess energy over the best structure of this formula in the dataset (meV/atom): 129



Entry 9:
DFT (PBE) results for a relaxed SmEuZnSb crystal.

a b c (Å): 5.3523 5.3523 5.3523
angles (deg): 60.00 60.00 60.00
With the nearest neighbours (Å) after each atom.
Fractional positions:
Eu (0.7500, 0.7500, 0.7500)  4 Zn 3.28, 4 Sb 3.28
Sb (0.5000, 0.5000, 0.5000)  4 Eu 3.28, 4 Sm 3.28
Zn (0.0000, 0.0000, 0.0000)  4 Sm 3.28, 4 Eu 3.28
Sm (0.2500, 0.2500, 0.2500)  4 Sb 3.28, 4 Zn 3.28



Entry 10:
DFT (PBE) results for a relaxed EuSnSb crystal.

a b c (Å): 4.5196 4.5196 5.6260
angles (deg): 113.68 113.68 90.00
With the nearest neighbours (Å) after each atom.
Fractional positions:
Eu (0.6132, 0.6132, 0.2265)  5 Sn 3.19-3.50, 5 Sb 3.29-3.47
Sb (0.9682, 0.9682, 0.9365)  1 Sn 2.78
Sn (0.2685, 0.2685, 0.5371)  1 Sb 2.78



Entry 11:
DFT (PBE) results for a relaxed EuSn2Sb crystal.

a b c (Å): 5.0070 4.7050 4.7050
angles (deg): 90.00 90.00 90.00
With the nearest neighbours (Å) after each atom.
Fractional positions:
Eu (0.5000, 0.5000, 0.5000)  4 Sb 3.33, 8 Sn 3.44
Sb (0.5000, 0.0000, 0.0000)  4 Eu 3.33, 8 Sn 3.44
Sn (0.0000, 0.0000, 0.5000)  4 Sn 3.33, 4 Sb 3.44, 4 Eu 3.44
Sn (0.0000, 0.5000, 0.0000)  4 Sn 3.33, 4 Sb 3.44, 4 Eu 3.44

Excess energy over the best structure of this formula in the dataset (meV/atom): 0



Entry 12:
DFT (PBE) results for a relaxed EuSnSb crystal.

a b c (Å): 3.4527 5.4371 5.4371
angles (deg): 120.00 90.00 90.00
With the nearest neighbours (Å) after each atom.
Fractional positions:
Eu (0.6668, 0.6667, 0.3333)  2 Eu 3.45, 6 Sb 3.58-3.59, 6 Sn 3.58
Sb (0.1653, 0.3333, 0.6667)  3 Sn 3.14, 2 Sb 3.45
Sn (0.1679, 0.0000, 0.0000)  3 Sb 3.14, 2 Sn 3.45



| no. | E_form (uncorrected) (eV/atom) | E_tot (eV per atom) | Fermi-level density of states (states/eV/f.u.) |
| --- | --- | --- | --- |
| 1 | -0.69 | -5.352 | 42.902 |
| 2 | 0.14 | -5.849 | 2.376 |
| 3 | -0.46 | -6.418 | 4.913 |
| 4 | -0.50 | -6.456 | 3.527 |
| 5 | -0.51 | -7.854 | 4.196 |
| 6 | -0.38 | -6.341 | 4.159 |
| 7 | -1.02 | -6.833 | 12.626 |
| 8 | -0.89 | -6.703 | 5.523 |
| 9 | -0.56 | -5.661 | 4.246 |
| 10 | -0.46 | -6.597 | 7.114 |
| 11 | -0.49 | -6.088 | 2.477 |
| 12 | -0.47 | -6.599 | 1.762 |